Entry 1:
Below is a relaxed structure of BaLaZr2, with properties calculated at the PBE level.

Cell: 4.8524 4.8524 5.1658 Å, 90.00 90.00 90.00°
Last column: nearest neighbours and their distance in Å.
Fractional coordinates of all 4 atoms:
Ba 0.5000 0.0000 0.5000  4 La 3.43, 8 Zr 3.54
Zr 0.0000 0.0000 0.0000  4 Zr 3.43, 4 La 3.54, 4 Ba 3.54
Zr 0.5000 0.5000 0.0000  4 Zr 3.43, 4 Ba 3.54, 4 La 3.54
La 0.0000 0.5000 0.5000  4 Ba 3.43, 8 Zr 3.54

## Properties
DFT total energy: -0.200 hartree per atom
D(E_F): 1.25 states/eV per atom
magnetic moment: 0.0 μB per cell
energy relative to the lowest polymorph listed for this composition: 264 meV per atom
formation energy: 2.17 eV per formula unit

Entry 2:
Below is a relaxed structure of UMnSi2, with properties calculated at the PBE level.

Cell: 2.8845 2.8845 6.9689 Å, 90.00 90.00 90.00°
Last column: nearest neighbours and their distance in Å.
Fractional coordinates of all 4 atoms:
Si 0.0000 0.0000 0.1848  4 Mn 2.41, 1 Si 2.58
Si 0.0000 0.0000 0.8152  4 Mn 2.41, 1 Si 2.58
Mn 0.5000 0.5000 0.0000  8 Si 2.41
U 0.5000 0.5000 0.5000  4 U 2.88, 8 Si 3.00

## Properties
DFT total energy: -0.296 hartree per atom
uncorrected formation energy: -0.22 eV per atom
D(E_F): 1.54 states/eV per atom
magnetic moment: 2.2 μB per cell

Entry 3:
Below is a relaxed structure of LiScGe, with properties calculated at the PBE level.

Cell: 4.4542 4.4542 4.4542 Å, 60.00 60.00 60.00°
Last column: nearest neighbours and their distance in Å.
Fractional coordinates of all 3 atoms:
Ge 0.2500 0.2500 0.2500  4 Li 2.73, 4 Sc 2.73
Li 0.5000 0.5000 0.5000  4 Ge 2.73
Sc 0.0000 0.0000 0.0000  4 Ge 2.73

## Properties
DFT total energy: -0.177 hartree per atom
magnetic moment: 0.0 μB per cell
formation energy: -1.55 eV per formula unit

Entry 4:
Below is a relaxed structure of BaGaAg2F8, with properties calculated at the PBE level.

Cell: 4.8006 5.4416 7.4492 Å, 83.27 87.62 90.53°
Last column: nearest neighbours and their distance in Å.
Fractional coordinates of all 12 atoms:
F 0.1238 0.7781 0.2048  1 Ga 1.95
F 0.6812 0.7813 0.9991  1 Ga 1.93
F 0.8338 0.1890 0.1786  1 Ga 1.93
F 0.8762 0.2219 0.7952  1 Ga 1.95
F 0.4656 0.2653 0.4848  1 Ag 2.20
F 0.3188 0.2187 0.0009  1 Ga 1.93
F 0.1662 0.8110 0.8214  1 Ga 1.93
F 0.5344 0.7347 0.5152  1 Ag 2.20
Ba 0.0000 0.0000 0.5000  8 F 2.64-2.95
Ag 0.5475 0.5236 0.2373  3 F 2.20-2.36
Ag 0.4525 0.4764 0.7627  3 F 2.20-2.36
Ga 0.0000 0.0000 0.0000  6 F 1.93-1.95

## Properties
DFT total energy: -0.162 hartree per atom
uncorrected formation energy: -2.27 eV per atom
D(E_F): 0.28 states/eV per atom
magnetic moment: 1.0 μB per cell

Entry 5:
Below is a relaxed structure of Er4CoSb, with properties calculated at the PBE level.

Cell: 6.4103 7.1150 8.1368 Å, 106.70 113.20 90.00°
Last column: nearest neighbours and their distance in Å.
Fractional coordinates of all 12 atoms:
Er 0.8990 0.3484 0.6484  2 Co 2.63-2.73
Er 0.4989 0.5332 0.8130  1 Co 2.49
Er 0.1010 0.6516 0.3516  2 Co 2.63-2.73
Er 0.6859 0.9668 0.1870  1 Co 2.49
Er 0.5011 0.4668 0.1870  1 Co 2.49
Er 0.7495 0.8484 0.6484  2 Co 2.63-2.73
Er 0.2505 0.1516 0.3516  2 Co 2.63-2.73
Er 0.3141 0.0332 0.8130  1 Co 2.49
Sb 0.8454 0.2500 0.0000  8 Er 3.23-3.30
Sb 0.1546 0.7500 0.0000  8 Er 3.23-3.30
Co 0.5000 0.5000 0.5000  6 Er 2.49-2.73
Co 0.0000 0.0000 0.5000  6 Er 2.49-2.73

## Properties
DFT total energy: -0.194 hartree per atom
uncorrected formation energy: -0.37 eV per atom
D(E_F): 0.81 states/eV per atom
magnetic moment: 0.0 μB per cell
energy relative to the lowest polymorph listed for this composition: 108 meV per atom

Entry 6:
Below is a relaxed structure of TcTeOs2, with properties calculated at the PBE level.

Cell: 2.8494 2.8494 9.6489 Å, 90.00 90.00 119.38°
Last column: nearest neighbours and their distance in Å.
Fractional coordinates of all 4 atoms:
Os 0.0000 0.0000 0.0232  8 Os 2.63-2.88
Os 0.5000 0.5000 0.2518  2 Tc 2.61, 8 Os 2.63-2.88
Tc 0.0000 0.0000 0.4772  2 Os 2.61, 6 Tc 2.85-2.88
Te 0.5000 0.5000 0.7478  6 Te 2.85-2.88, 2 Tc 2.98, 2 Os 3.02

## Properties
DFT total energy: -0.293 hartree per atom
uncorrected formation energy: 1.01 eV per atom
D(E_F): 1.23 states/eV per atom
magnetic moment: 0.0 μB per cell
energy relative to the lowest polymorph listed for this composition: 439 meV per atom

Entry 7:
Below is a relaxed structure of Mg5ZnHg4, with properties calculated at the PBE level.

Cell: 3.4842 3.4842 17.0837 Å, 90.00 90.00 90.00°
Last column: nearest neighbours and their distance in Å.
Fractional coordinates of all 10 atoms:
Zn 0.0000 0.0000 0.0000  8 Mg 2.92, 2 Hg 3.26
Mg 0.5000 0.5000 0.7053  8 Hg 3.03-3.04
Mg 0.5000 0.5000 0.2947  8 Hg 3.03-3.04
Mg 0.5000 0.5000 0.5000  8 Hg 3.02
Mg 0.5000 0.5000 0.9087  4 Zn 2.92, 4 Hg 2.99, 1 Mg 3.12
Mg 0.5000 0.5000 0.0913  4 Zn 2.92, 4 Hg 2.99, 1 Mg 3.12
Hg 0.0000 0.0000 0.3975  8 Mg 3.02-3.03
Hg 0.0000 0.0000 0.6025  8 Mg 3.02-3.03
Hg 0.0000 0.0000 0.1908  8 Mg 2.99-3.04, 1 Zn 3.26
Hg 0.0000 0.0000 0.8092  8 Mg 2.99-3.04, 1 Zn 3.26

## Properties
DFT total energy: -0.045 hartree per atom
D(E_F): 0.31 states/eV per atom
magnetic moment: 0.0 μB per cell
formation energy: -1.85 eV per formula unit

Entry 8:
Below is a relaxed structure of PrNdTlSn, with properties calculated at the PBE level.

Cell: 5.5263 5.5263 5.5263 Å, 60.00 60.00 60.00°
Last column: nearest neighbours and their distance in Å.
Fractional coordinates of all 4 atoms:
Pr 0.0000 0.0000 0.0000  4 Tl 3.38, 4 Sn 3.38
Nd 0.5000 0.5000 0.5000  4 Sn 3.38, 4 Tl 3.38
Tl 0.7500 0.7500 0.7500  4 Nd 3.38, 4 Pr 3.38
Sn 0.2500 0.2500 0.2500  4 Pr 3.38, 4 Nd 3.38

## Properties
DFT total energy: -0.165 hartree per atom
D(E_F): 0.59 states/eV per atom
magnetic moment: 0.0 μB per cell
energy relative to the lowest polymorph listed for this composition: 71 meV per atom
formation energy: -2.05 eV per formula unit

Entry 9:
Below is a relaxed structure of La2CdFe2, with properties calculated at the PBE level.

Cell: 3.3445 3.3445 10.2832 Å, 80.64 80.64 90.00°
Last column: nearest neighbours and their distance in Å.
Fractional coordinates of all 5 atoms:
Fe 0.2500 0.7500 0.5000  4 Fe 2.36
Fe 0.7500 0.2500 0.5000  4 Fe 2.36
Cd 0.0000 0.0000 0.0000  4 Cd 3.34, 8 La 3.48
La 0.6273 0.6273 0.7453  4 Fe 2.97
La 0.3727 0.3727 0.2547  4 Fe 2.97

## Properties
DFT total energy: -0.194 hartree per atom
D(E_F): 1.75 states/eV per atom
magnetic moment: 0.0 μB per cell
formation energy: 1.25 eV per formula unit

Entry 10:
Below is a relaxed structure of SiRh2, with properties calculated at the PBE level.

Cell: 5.0394 5.0394 6.8174 Å, 63.31 63.31 32.54°
Last column: nearest neighbours and their distance in Å.
Fractional coordinates of all 6 atoms:
Si 0.3486 0.3486 0.6917  7 Rh 2.41-2.56
Si 0.6514 0.6514 0.3083  7 Rh 2.41-2.56
Rh 0.9138 0.9138 0.3712  4 Si 2.42-2.56
Rh 0.6447 0.6447 0.9580  3 Si 2.41-2.42, 1 Rh 2.58
Rh 0.3553 0.3553 0.0420  3 Si 2.41-2.42, 1 Rh 2.58
Rh 0.0862 0.0862 0.6288  4 Si 2.42-2.56

## Properties
DFT total energy: -0.268 hartree per atom
uncorrected formation energy: -0.57 eV per atom
D(E_F): 1.04 states/eV per atom
magnetic moment: 0.0 μB per cell

Entry 11:
Below is a relaxed structure of CsCeSn2I8, with properties calculated at the PBE level.

Cell: 7.9584 7.5024 10.3469 Å, 84.39 83.64 87.18°
Last column: nearest neighbours and their distance in Å.
Fractional coordinates of all 12 atoms:
Cs 0.0000 0.0000 0.5000  6 I 3.73-3.87
I 0.3940 0.2597 0.5464  1 Sn 2.94
I 0.6060 0.7403 0.4536  1 Sn 2.94
I 0.6704 0.7647 0.0200  1 Sn 3.07, 1 Ce 3.21
I 0.8485 0.2655 0.7840  1 Ce 3.15, 1 Sn 3.25
I 0.8367 0.2530 0.2085  1 Ce 3.14, 1 Sn 3.22
I 0.1515 0.7345 0.2160  1 Ce 3.15, 1 Sn 3.25
I 0.3296 0.2353 0.9800  1 Sn 3.07, 1 Ce 3.21
I 0.1633 0.7470 0.7915  1 Ce 3.14, 1 Sn 3.22
Ce 0.0000 0.0000 0.0000  6 I 3.14-3.21
Sn 0.5118 0.5221 0.2540  4 I 2.94-3.25
Sn 0.4882 0.4779 0.7460  4 I 2.94-3.25

## Properties
DFT total energy: -0.117 hartree per atom
uncorrected formation energy: -0.91 eV per atom
D(E_F): 0.74 states/eV per atom
magnetic moment: 1.0 μB per cell

Entry 12:
Below is a relaxed structure of Ce2SBr2N, with properties calculated at the PBE level.

Cell: 3.9958 7.1937 11.4573 Å, 90.00 90.00 90.00°
Last column: nearest neighbours and their distance in Å.
Fractional coordinates of all 12 atoms:
N 0.5000 0.6812 0.3776  4 Ce 2.30-2.50
N 0.5000 0.1812 0.6224  4 Ce 2.30-2.50
Ce 0.0000 0.7445 0.2868  2 N 2.30
Ce 0.5000 0.8462 0.5639  2 N 2.44-2.50
Ce 0.5000 0.3462 0.4361  2 N 2.44-2.50
Ce 0.0000 0.2445 0.7132  2 N 2.30
S 0.0000 0.0416 0.4411  5 Ce 2.77-2.97, 2 N 3.05
S 0.0000 0.5416 0.5589  5 Ce 2.77-2.97, 2 N 3.05
Br 0.5000 0.3780 0.8845  2 Ce 2.96
Br 0.0000 0.8541 0.7738  3 Ce 2.89-3.13
Br 0.5000 0.8780 0.1155  2 Ce 2.96
Br 0.0000 0.3541 0.2262  3 Ce 2.89-3.13

## Properties
DFT total energy: -0.235 hartree per atom
uncorrected formation energy: -1.78 eV per atom
D(E_F): 1.29 states/eV per atom
magnetic moment: 2.1 μB per cell

Entry 13:
Below is a relaxed structure of PmSi2Tc2C, with properties calculated at the PBE level.

Cell: 4.1574 4.1574 5.3249 Å, 90.00 90.00 90.00°
Last column: nearest neighbours and their distance in Å.
Fractional coordinates of all 6 atoms:
Pm 0.0000 0.0000 0.5000  2 C 2.66
Si 0.5000 0.5000 0.7235  1 Si 2.38, 4 Tc 2.55
Si 0.5000 0.5000 0.2765  1 Si 2.38, 4 Tc 2.55
C 0.0000 0.0000 0.0000  4 Tc 2.08
Tc 0.0000 0.5000 0.0000  2 C 2.08
Tc 0.5000 0.0000 0.0000  2 C 2.08

## Properties
DFT total energy: -0.297 hartree per atom
uncorrected formation energy: -0.50 eV per atom
D(E_F): 0.76 states/eV per atom
magnetic moment: 0.0 μB per cell